Record 1
VASP calculation (PBE-GGA) on a geometry-optimized NaHo5Tl8 structure.

The formation enthalpy at 0 K is -0.188 eV/atom. The density of states at the Fermi level comes out at 8.9 states/eV/f.u.

The space group is I-4 (No. 82) and the conventional cell measures 9.281, 9.281 and 9.175 Å, with angles of 90.00, 90.00 and 90.00 degrees. The asymmetric unit holds Na at (0.000, 0.000, 0.000), Ho at (0.000, 0.500, 0.250), Ho at (0.120, 0.217, 0.610), Tl at (0.066, 0.335, 0.940) and Tl at (0.102, 0.179, 0.273).



Record 2
VASP calculation (PBE-GGA) on a geometry-optimized Tb3Ru2Cl structure.

The density of states at the Fermi level comes out at 1.8 states/eV/f.u. The calculation puts the total energy at -6.45 eV per atom.

The space group is P4/mmm (No. 123) and the conventional cell measures 3.374, 3.374 and 11.427 Å, with angles of 90.00, 90.00 and 90.00 degrees. The asymmetric unit holds Tb at (0.000, 0.000, 0.000), Tb at (0.000, 0.000, 0.300), Ru at (0.500, 0.500, 0.159) and Cl at (0.500, 0.500, 0.500).